No. 1
Entry from Alexandria via LeMat-Bulk: a relaxed structure of Ti6Bi2HS (GGA-PBE).

Summary:
VASP energy = -6.662 eV/atom

Cell: 6.1624 6.1108 6.1588 Å, 68.50 57.77 95.96°
Element x y z (fractional)
Ti: 0.7820 0.7892 0.5242
Ti: 0.3136 0.7897 0.9928
Bi: 0.7588 0.2911 0.4673
Ti: 0.7181 0.6641 0.0542
Bi: 0.2412 0.7089 0.5327
Ti: 0.2819 0.3359 0.9458
H: 0.5000 0.5000 0.0000
Ti: 0.2180 0.2108 0.4758
Ti: 0.6864 0.2103 0.0072
S: 0.0000 0.0000 0.0000

No. 2
Entry from Alexandria via LeMat-Bulk: a relaxed structure of LiOs2Au (GGA-PBE).

Summary:
energy relative to the elements = 0.24 eV/atom

Cell: 4.6151 4.6151 5.0157 Å, 83.62 83.62 34.26°
Element x y z (fractional)
Li: 0.7544 0.7544 0.7236
Au: 0.5058 0.5058 0.5417
Os: 0.2484 0.2484 0.1999
Os: 0.9914 0.9914 0.0348